[1]
Below is a relaxed BaCuAg crystal, with properties calculated at the PBE level.

Properties
- Energy relative to the elements: 0.1 eV per formula unit
- Energy relative to the lowest polymorph listed for this composition: 0.182 eV per atom
- V: 25.9 Å³/atom
- Space-group type: No. 107

Geometry as POSCAR:
```
BaCuAg
1.0
6.158 0.006 -0.013
3.881 4.781 0.013
-5.015 -2.402 2.645
Ag Cu Ba
1 1 1
direct
0.042 0.042 0.000 Ag
0.626 0.626 0.000 Cu
0.332 0.332 0.000 Ba
```

[2]
Below is a relaxed La2ScMo crystal, with properties calculated at the PBE level.

Properties
- Energy relative to the elements: 1.5 eV per formula unit
- Energy relative to the lowest polymorph listed for this composition: 0.125 eV per atom
- V: 27.2 Å³/atom
- Space-group type: No. 160

Geometry as POSCAR:
```
La2ScMo
1.0
-9.501 -1.538 -3.896
-9.513 -3.940 -1.337
-10.347 -0.607 -0.620
La Mo Sc
2 1 1
direct
0.232 0.232 0.232 La
0.002 0.002 0.002 La
0.498 0.498 0.498 Mo
0.768 0.768 0.768 Sc
```

[3]
Below is a relaxed Cs2CaMg2 crystal, with properties calculated at the PBE level.

Properties
- Energy relative to the elements: 1.3 eV per formula unit
- V: 53.9 Å³/atom
- Space-group type: No. 127

Geometry as POSCAR:
```
Cs2CaMg2
1.0
-5.617 3.425 6.196
-5.914 -6.618 -1.703
2.844 -3.736 4.643
Ca Cs Mg
2 4 4
direct
0.000 0.000 0.000 Ca
0.500 0.500 0.000 Ca
0.676 0.824 0.500 Cs
0.824 0.324 0.500 Cs
0.324 0.176 0.500 Cs
0.176 0.676 0.500 Cs
0.376 0.876 0.000 Mg
0.876 0.624 0.000 Mg
0.124 0.376 0.000 Mg
0.624 0.124 0.000 Mg
```

[4]
Below is a relaxed Sb2TeRuI crystal, with properties calculated at the PBE level.

Properties
- Energy relative to the lowest polymorph listed for this composition: 0.036 eV per atom
- V: 28.7 Å³/atom
- Space-group type: No. 123
- E_form (uncorrected): 0.396 eV per atom

Geometry as POSCAR:
```
Sb2TeRuI
1.0
5.156 0.000 0.000
0.000 5.156 0.000
0.000 0.000 5.400
Sb Te I Ru
2 1 1 1
direct
0.500 0.000 0.000 Sb
0.000 0.500 0.000 Sb
0.500 0.500 0.500 Te
0.000 0.000 0.500 I
0.000 0.000 0.000 Ru
```

[5]
Below is a relaxed K2NaPbF crystal, with properties calculated at the PBE level.

Properties
- V: 30.2 Å³/atom
- Space-group type: No. 123
- E_form (uncorrected): -1.034 eV per atom

Geometry as POSCAR:
```
K2NaPbF
1.0
5.580 0.000 0.000
0.000 5.580 0.000
0.000 0.000 4.855
Na Pb F K
1 1 1 2
direct
0.000 0.000 0.500 Na
0.500 0.500 0.500 Pb
0.000 0.000 0.000 F
0.000 0.500 0.000 K
0.500 0.000 0.000 K
```

[6]
Below is a relaxed La2CeSm3Te6 crystal, with properties calculated at the PBE level.

Properties
- V: 32.2 Å³/atom
- Space-group type: No. 12
- E_form (uncorrected): -1.456 eV per atom

Geometry as POSCAR:
```
La2CeSm3Te6
1.0
4.482 0.000 0.000
0.000 9.036 0.330
-2.241 -2.594 9.450
Te Sm La Ce
6 3 2 1
direct
0.335 0.411 0.670 Te
0.333 0.922 0.667 Te
0.665 0.589 0.330 Te
0.003 0.749 0.006 Te
0.997 0.251 0.994 Te
0.667 0.078 0.333 Te
0.500 0.500 0.000 Sm
0.832 0.165 0.663 Sm
0.168 0.835 0.337 Sm
0.834 0.668 0.669 La
0.166 0.332 0.331 La
0.500 0.000 0.000 Ce
```

[7]
Below is a relaxed GaNi2Mo crystal, with properties calculated at the PBE level.

Properties
- Energy relative to the elements: 1.1 eV per formula unit
- V: 14.1 Å³/atom
- Space-group type: No. 122

Geometry as POSCAR:
```
GaNi2Mo
1.0
3.652 0.000 0.000
0.000 3.652 0.000
1.826 1.826 8.450
Mo Ga Ni
2 2 4
direct
0.000 0.000 0.000 Mo
0.750 0.250 0.500 Mo
0.500 0.500 0.000 Ga
0.250 0.750 0.500 Ga
0.875 0.867 0.750 Ni
0.375 0.383 0.750 Ni
0.617 0.125 0.250 Ni
0.133 0.625 0.250 Ni
```

[8]
Below is a relaxed BaPuI2 crystal, with properties calculated at the PBE level.

Properties
- V: 44.4 Å³/atom
- Space-group type: No. 166
- E_form (uncorrected): -0.769 eV per atom

Geometry as POSCAR:
```
BaPuI2
1.0
4.272 0.000 0.000
2.136 3.699 0.000
2.136 1.233 11.246
Pu I Ba
1 2 1
direct
0.500 0.500 0.500 Pu
0.106 0.106 0.683 I
0.894 0.894 0.317 I
0.000 0.000 0.000 Ba
```

| no. | energy (eV/cell) |
| --- | --- |
| 1 | -8.757 |
| 2 | -25.522 |
| 3 | -11.272 |
| 4 | -20.231 |
| 5 | -14.265 |
| 6 | -66.264 |
| 7 | -48.741 |
| 8 | -22.431 |